# 1
! Nd3Th, relaxed, DFT PBE; values from VASP
! - spin magnetization (Bohr magnetons per cell) = 0.0
! - excess energy over the best structure of this formula in the dataset (eV/atom) = 0.0412
! - formation enthalpy at 0 K (eV/atom) = 0.07
! - D(E_F) (states/eV per cell) = 6.92
&SYSTEM
  ibrav = 0, nat = 4, ntyp = 2
/
ATOMIC_SPECIES
Nd 144.24 Nd.upf
Th 232.04 Th.upf
CELL_PARAMETERS angstrom
-2.5808 2.5808 5.1756
2.5808 -2.5808 5.1756
2.5808 2.5808 -5.1756
ATOMIC_POSITIONS crystal
Nd 0.0000 0.0000 0.0000
Nd 0.2500 0.7500 0.5000
Nd 0.7500 0.2500 0.5000
Th 0.5000 0.5000 0.0000

***

# 2
! K2CrP, relaxed, DFT PBE; values from VASP
! - spin magnetization (Bohr magnetons per cell) = 4.1
! - formation enthalpy at 0 K (eV/atom) = -0.04
! - D(E_F) (states/eV per cell) = 1.72
&SYSTEM
  ibrav = 0, nat = 4, ntyp = 3
/
ATOMIC_SPECIES
K 39.10 K.upf
Cr 52.00 Cr.upf
P 30.97 P.upf
CELL_PARAMETERS angstrom
3.6386 -2.0976 0.0000
3.6386 2.0976 0.0000
-2.1989 0.0000 9.3112
ATOMIC_POSITIONS crystal
K 0.0000 0.0000 0.0000
K 0.1633 0.1633 0.5403
Cr 0.7486 0.7486 0.2702
P 0.4154 0.4154 0.2701

***

Number 1: V 34.5 Å³/atom. Number 2: V 35.5 Å³/atom.